(1)
DFT (GGA-PBEsol) results for a relaxed structure of Os2PtAu.

Values from the calculation:
The calculation puts the offset from the most stable computed form at 14 meV/atom. Its density is 20.680 g/cm3. As for the magnetic moment: 0.0 μB per formula unit. The energy of formation is 0.55 eV/atom. The value obtained for the density of states at the Fermi level is 3.1 states/eV/cell. As for the raw total energy: -0.60841 Ry/atom.

Cell: 2.721 4.545 5.673 Å, 113.61 103.87 90.00°
Positions (direct):
Au  0.500  0.000  0.000
Os  0.724  0.724  0.448
Os  0.276  0.276  0.552
Pt  0.000  0.500  0.000

***

(2)
DFT (GGA-PBEsol) results for a relaxed structure of OsPtAu.

Values from the calculation:
The calculation puts the offset from the most stable computed form at 174 meV/atom. Its density is 20.851 g/cm3. As for the magnetic moment: 1.1 μB per formula unit. The energy of formation is 0.63 eV/atom. The value obtained for the density of states at the Fermi level is 3.8 states/eV/cell. As for the raw total energy: -0.51968 Ry/atom.

Cell: 2.664 4.483 4.483 Å, 120.00 90.00 90.00°
Last column: magnetic moment on the atom in μB.
Positions (direct):
Au  0.065  0.000  0.000  0.07
Os  0.694  0.333  0.667  0.78
Pt  0.242  0.667  0.333  0.18

***

(3)
DFT (GGA-PBEsol) results for a relaxed structure of Rb2OsWAu.

Values from the calculation:
Its density is 5.911 g/cm3. As for the magnetic moment: 6.6 μB per formula unit. The energy of formation is 2.71 eV/atom. The value obtained for the density of states at the Fermi level is 9.6 states/eV/cell. As for the raw total energy: -0.27115 Ry/atom.

Cell: 4.932 6.501 6.501 Å, 90.00 90.00 90.00°
Last column: magnetic moment on the atom in μB.
Positions (direct):
Os  0.500  0.500  0.500  2.79
Au  0.500  0.000  0.000  0.08
Rb  0.000  0.000  0.500  0.04
Rb  0.000  0.500  0.000  0.04
W  0.000  0.000  0.000  2.35

***

(4)
DFT (GGA-PBEsol) results for a relaxed structure of ReOsAu.

Values from the calculation:
Its density is 21.183 g/cm3. As for the magnetic moment: 0.0 μB per formula unit. The energy of formation is 0.33 eV/atom. The value obtained for the density of states at the Fermi level is 1.8 states/eV/cell. As for the raw total energy: -0.69789 Ry/atom.

Cell: 2.809 3.810 4.821 Å, 113.27 106.94 90.00°
Positions (direct):
Au  0.000  0.000  0.000
Os  0.677  0.677  0.355
Re  0.323  0.323  0.646

***

(5)
DFT (GGA-PBEsol) results for a relaxed structure of ReTeOs2Au.

Values from the calculation:
The calculation puts the energy relative to the elements, uncorrected at 1.989 eV per atom. Its density is 13.629 g/cm3. As for the magnetic moment: 0.0 μB per formula unit. The value obtained for the density of states at the Fermi level is 7.6 states/eV/cell. As for the raw total energy: -0.51845 Ry/atom.

Cell: 4.692 4.692 4.932 Å, 90.00 90.00 90.00°
Positions (direct):
Os  0.000  0.500  0.000
Os  0.500  0.000  0.000
Te  0.500  0.500  0.500
Au  0.000  0.000  0.500
Re  0.000  0.000  0.000

***

(6)
DFT (GGA-PBEsol) results for a relaxed structure of Re2OsWAu.

Values from the calculation:
Its density is 15.550 g/cm3. As for the magnetic moment: 0.2 μB per formula unit. The energy of formation is 2.28 eV/atom. The value obtained for the density of states at the Fermi level is 5.5 states/eV/cell. As for the raw total energy: -0.66492 Ry/atom.

Cell: 4.646 4.646 4.667 Å, 90.00 90.00 90.00°
Last column: magnetic moment on the atom in μB.
Positions (direct):
Os  0.000  0.000  0.000  0.00
Au  0.500  0.500  0.500  0.01
W  0.000  0.000  0.500  -0.04
Re  0.000  0.500  0.000  0.10
Re  0.500  0.000  0.000  0.10

***

(7)
DFT (GGA-PBEsol) results for a relaxed structure of OsRhWAu2.

Values from the calculation:
Its density is 13.316 g/cm3. As for the magnetic moment: 0.0 μB per formula unit. The energy of formation is 2.06 eV/atom. The value obtained for the density of states at the Fermi level is 7.0 states/eV/cell. As for the raw total energy: -0.46610 Ry/atom.

Cell: 4.572 4.874 4.874 Å, 90.00 90.00 90.00°
Positions (direct):
Os  0.000  0.000  0.000
Rh  0.500  0.500  0.500
Au  0.000  0.000  0.500
Au  0.000  0.500  0.000
W  0.500  0.000  0.000

***

(8)
DFT (GGA-PBEsol) results for a relaxed structure of OsRuAu2.

Values from the calculation:
The calculation puts the offset from the most stable computed form at 0 meV/atom. Its density is 18.405 g/cm3. As for the magnetic moment: 0.1 μB per formula unit. The energy of formation is 0.68 eV/atom. The value obtained for the density of states at the Fermi level is 5.4 states/eV/cell. As for the raw total energy: -0.50541 Ry/atom.

Cell: 2.748 4.672 5.525 Å, 115.01 104.40 90.00°
Last column: magnetic moment on the atom in μB.
Positions (direct):
Au  0.750  0.750  0.501  0.00
Au  0.250  0.250  0.499  0.00
Os  0.500  0.000  0.000  0.04
Ru  0.000  0.500  0.000  0.06

***

(9)
DFT (GGA-PBEsol) results for a relaxed structure of OsRuAu2.

Values from the calculation:
The calculation puts the offset from the most stable computed form at 95 meV/atom. Its density is 18.415 g/cm3. As for the magnetic moment: 0.0 μB per formula unit. The energy of formation is 0.78 eV/atom. The value obtained for the density of states at the Fermi level is 5.8 states/eV/cell. As for the raw total energy: -0.49843 Ry/atom.

Cell: 4.438 4.438 4.438 Å, 60.00 60.00 60.00°
Positions (direct):
Au  0.000  0.000  0.000
Au  0.750  0.750  0.750
Os  0.500  0.500  0.500
Ru  0.250  0.250  0.250

***

(10)
DFT (GGA-PBEsol) results for a relaxed structure of Os3RuAu.

Values from the calculation:
Its density is 15.023 g/cm3. As for the magnetic moment: 1.0 μB per formula unit. The energy of formation is 2.50 eV/atom. The value obtained for the density of states at the Fermi level is 8.8 states/eV/cell. As for the raw total energy: -0.56185 Ry/atom.

Cell: 4.579 4.579 4.579 Å, 90.00 90.00 90.00°
Last column: magnetic moment on the atom in μB.
Positions (direct):
Os  0.000  0.500  0.000  0.32
Os  0.000  0.000  0.500  0.32
Os  0.500  0.000  0.000  0.32
Au  0.500  0.500  0.500  0.04
Ru  0.000  0.000  0.000  -0.02

***

(11)
DFT (GGA-PBEsol) results for a relaxed structure of Sb2OsAu.

Values from the calculation:
The calculation puts the energy relative to the elements, uncorrected at 0.535 eV per atom. Its density is 13.779 g/cm3. As for the magnetic moment: 0.0 μB per formula unit. The value obtained for the density of states at the Fermi level is 3.6 states/eV/cell. As for the raw total energy: -0.42474 Ry/atom.

Cell: 4.755 4.755 4.755 Å, 60.00 60.00 60.00°
Positions (direct):
Au  0.000  0.000  0.000
Os  0.500  0.500  0.500
Sb  0.750  0.750  0.750
Sb  0.250  0.250  0.250

***

(12)
DFT (GGA-PBEsol) results for a relaxed structure of SbOsAu2.

Values from the calculation:
The calculation puts the energy relative to the elements, uncorrected at 0.669 eV per atom. Its density is 16.127 g/cm3. As for the magnetic moment: 0.4 μB per formula unit. The value obtained for the density of states at the Fermi level is 3.8 states/eV/cell. As for the raw total energy: -0.40327 Ry/atom.

Cell: 2.851 2.925 9.980 Å, 90.00 90.00 119.16°
Last column: magnetic moment on the atom in μB.
Positions (direct):
Au  0.000  0.000  0.733  0.01
Au  0.000  0.000  0.267  0.01
Os  0.500  0.000  0.500  0.34
Sb  0.500  0.000  0.000  0.00